{"formula": "Ca2ZnIn2", "functional": "PBE", "state": "relaxed", "m_tot_mub_per_cell": 0.000, "relative_energy_mev_per_atom": 95, "ef_ev_per_atom": -0.2882, "lattice": [[7.425, 0.000, 0.000], [0.000, 7.425, 0.000], [0.000, 0.000, 5.013]], "species": ["Ca", "Ca", "Ca", "Ca", "Zn", "Zn", "In", "In", "In", "In"], "fractional_positions": [[0.168, 0.332, 0.000], [0.332, 0.832, 0.000], [0.668, 0.168, 0.000], [0.832, 0.668, 0.000], [0.000, 0.000, 0.500], [0.500, 0.500, 0.500], [0.141, 0.641, 0.500], [0.359, 0.141, 0.500], [0.641, 0.859, 0.500], [0.859, 0.359, 0.500]]}

{"formula": "Pm7In2Ge", "functional": "PBE", "state": "relaxed", "m_tot_mub_per_cell": 0.000, "ef_ev_per_atom": 0.2239, "lattice": [[0.000, 5.556, 5.556], [5.556, 0.000, 5.556], [5.556, 5.556, 0.000]], "species": ["Pm", "Pm", "Pm", "Pm", "Pm", "Pm", "Pm", "In", "In", "Ge"], "fractional_positions": [[0.000, 0.000, 0.000], [0.254, 0.254, 0.746], [0.254, 0.746, 0.254], [0.254, 0.746, 0.746], [0.746, 0.254, 0.254], [0.746, 0.254, 0.746], [0.746, 0.746, 0.254], [0.250, 0.250, 0.250], [0.750, 0.750, 0.750], [0.500, 0.500, 0.500]]}

{"formula": "GdHo2Tl", "functional": "PBE", "state": "relaxed", "m_tot_mub_per_cell": 7.229, "relative_energy_mev_per_atom": 91, "ef_ev_per_atom": -0.1028, "lattice": [[1.776, 1.025, 11.007], [-1.776, 1.025, 11.007], [0.000, -2.050, 11.007]], "species": ["Gd", "Ho", "Ho", "Tl"], "fractional_positions": [[0.000, 0.000, 0.000], [0.246, 0.246, 0.246], [0.754, 0.754, 0.754], [0.500, 0.500, 0.500]]}

{"formula": "Al2OsPd2", "functional": "PBE", "state": "relaxed", "m_tot_mub_per_cell": 0.000, "ef_ev_per_atom": -0.3541, "lattice": [[7.213, 0.000, 0.000], [0.000, 7.213, 0.000], [0.000, 0.000, 2.807]], "species": ["Al", "Al", "Al", "Al", "Os", "Os", "Pd", "Pd", "Pd", "Pd"], "fractional_positions": [[0.154, 0.346, 0.000], [0.346, 0.846, 0.000], [0.654, 0.154, 0.000], [0.846, 0.654, 0.000], [0.000, 0.000, 0.000], [0.500, 0.500, 0.000], [0.145, 0.645, 0.500], [0.355, 0.145, 0.500], [0.645, 0.855, 0.500], [0.855, 0.355, 0.500]]}

{"formula": "UHgPtAu", "functional": "PBE", "state": "relaxed", "m_tot_mub_per_cell": 2.132, "ef_ev_per_atom": -0.2501, "lattice": [[0.000, 3.463, 3.463], [3.463, 0.000, 3.463], [3.463, 3.463, 0.000]], "species": ["U", "Hg", "Pt", "Au"], "fractional_positions": [[0.000, 0.000, 0.000], [0.500, 0.500, 0.500], [0.750, 0.750, 0.750], [0.250, 0.250, 0.250]]}

{"formula": "La3PmNd3", "functional": "PBE", "state": "relaxed", "m_tot_mub_per_cell": 0.000, "relative_energy_mev_per_atom": 0, "ef_ev_per_atom": 0.0338, "lattice": [[9.912, 0.000, 0.000], [-4.956, 8.584, 0.000], [0.000, 0.000, 5.989]], "species": ["La", "La", "La", "La", "La", "La", "Pm", "Pm", "Nd", "Nd", "Nd", "Nd", "Nd", "Nd"], "fractional_positions": [[0.048, 0.241, 0.250], [0.193, 0.952, 0.250], [0.241, 0.193, 0.750], [0.759, 0.807, 0.250], [0.807, 0.048, 0.750], [0.952, 0.759, 0.750], [0.333, 0.667, 0.250], [0.667, 0.333, 0.750], [0.095, 0.479, 0.750], [0.384, 0.905, 0.750], [0.479, 0.384, 0.250], [0.521, 0.616, 0.750], [0.616, 0.095, 0.250], [0.905, 0.521, 0.250]]}